DFT (PBE) results for a geometry-optimized Ac4CeTe6 structure.

Uncorrected energy in eV/atom: -5.1776
Formation energy without anion corrections in meV/atom: -1431
D(E_F) in states/eV/f.u.: 12.0

Cell and atoms, written as CIF:
```
data_Ac4CeTe6
_chemical_formula_sum 'Ac24 Ce6 Te36'
_cell_length_a 13.1536
_cell_length_b 13.1536
_cell_length_c 15.8490
_cell_angle_alpha 90.00
_cell_angle_beta 90.00
_cell_angle_gamma 120.00
_symmetry_space_group_name_H-M 'R -3 c'
_symmetry_Int_Tables_number 167
_symmetry_space_group_name_Hall '-R 3 2"c'
loop_
_atom_site_label
_atom_site_type_symbol
_atom_site_fract_x
_atom_site_fract_y
_atom_site_fract_z
Ac1 Ac 0.0000 0.0000 0.2500
Ac2 Ac 0.0000 0.3892 0.2500
Ce1 Ce 0.0000 0.0000 0.0000
Te1 Te 0.0318 0.2069 0.3856
```